No. 1
K3Ho2HfS6: optimized geometry, GGA-PBE.

Values from the calculation:
The calculation puts the formation energy (no corrections) at -20.71 eV per formula unit. The value obtained for the uncorrected energy is -5.66 eV/atom.

a = 6.7962 Å, b = 6.7962 Å, c = 7.7198 Å
α = 98.46°, β = 98.46°, γ = 120.00°
With the nearest neighbours (Å) after each atom.
Positions (direct):
K  0.0000  0.0000  0.0000  6 S 3.13-3.24
K  0.3302  0.6698  0.0000  6 S 3.13-3.22
K  0.6698  0.3302  0.0000  6 S 3.13-3.22
Ho  0.1664  0.8336  0.5000  6 S 2.75
Ho  0.8336  0.1664  0.5000  6 S 2.75
Hf  0.5000  0.5000  0.5000  6 S 2.62
S  0.1155  0.4333  0.3000  1 Hf 2.62, 2 Ho 2.75
S  0.2496  0.2496  0.7007  1 Hf 2.62, 2 Ho 2.75
S  0.4333  0.1155  0.3000  1 Hf 2.62, 2 Ho 2.75
S  0.5667  0.8845  0.7000  1 Hf 2.62, 2 Ho 2.75
S  0.7504  0.7504  0.2993  1 Hf 2.62, 2 Ho 2.75
S  0.8845  0.5667  0.7000  1 Hf 2.62, 2 Ho 2.75

=====

No. 2
NaCd2In2: optimized geometry, GGA-PBE.

Values from the calculation:
For the distance to the lowest polymorph of the same formula, the calculation gives 23 meV/atom. As for the formation enthalpy at 0 K: -0.02 eV/atom. The value obtained for the uncorrected energy is -1.74 eV/atom.

a = 8.6172 Å, b = 8.6172 Å, c = 3.6224 Å
α = 90.00°, β = 90.00°, γ = 90.00°
With the nearest neighbours (Å) after each atom.
Positions (direct):
Na  0.0000  0.0000  0.0000  4 In 3.36, 2 Na 3.62, 8 Cd 3.69
Na  0.5000  0.5000  0.0000  4 In 3.36, 2 Na 3.62, 8 Cd 3.69
Cd  0.1665  0.3335  0.5000  6 In 3.04-3.16
Cd  0.3335  0.8335  0.5000  6 In 3.04-3.16
Cd  0.6665  0.1665  0.5000  6 In 3.04-3.16
Cd  0.8335  0.6665  0.5000  6 In 3.04-3.16
In  0.1328  0.6328  0.0000  6 Cd 3.04-3.16, 1 In 3.24, 2 Na 3.36
In  0.3672  0.1328  0.0000  6 Cd 3.04-3.16, 1 In 3.24, 2 Na 3.36
In  0.6328  0.8672  0.0000  6 Cd 3.04-3.16, 1 In 3.24, 2 Na 3.36
In  0.8672  0.3672  0.0000  6 Cd 3.04-3.16, 1 In 3.24, 2 Na 3.36

=====

No. 3
SiAgCl3: optimized geometry, GGA-PBE.

Values from the calculation:
The calculation puts the formation energy (no corrections) at -1.38 eV per formula unit. The value obtained for the uncorrected energy is -3.04 eV/atom.

a = 4.9595 Å, b = 4.9595 Å, c = 4.9595 Å
α = 90.00°, β = 90.00°, γ = 90.00°
With the nearest neighbours (Å) after each atom.
Positions (direct):
Si  0.0000  0.0000  0.0000  6 Cl 2.48
Ag  0.5000  0.5000  0.5000  12 Cl 3.51
Cl  0.0000  0.0000  0.5000  2 Si 2.48
Cl  0.0000  0.5000  0.0000  2 Si 2.48
Cl  0.5000  0.0000  0.0000  2 Si 2.48

=====

No. 4
BaHoPaN3: optimized geometry, GGA-PBE.

Values from the calculation:
The calculation puts the formation energy (no corrections) at -7.17 eV per formula unit. The value obtained for the uncorrected energy is -8.02 eV/atom.

a = 7.4200 Å, b = 3.5309 Å, c = 10.0560 Å
α = 90.00°, β = 92.02°, γ = 90.00°
With the nearest neighbours (Å) after each atom.
Positions (direct):
Ba  0.1275  0.2500  0.2045  4 N 2.80-3.04
Ba  0.8725  0.7500  0.7955  4 N 2.80-3.04
Ho  0.1776  0.2500  0.5520  4 N 2.24-2.43
Ho  0.8224  0.7500  0.4480  4 N 2.24-2.43
Pa  0.3822  0.7500  0.8677  5 N 2.25-2.33
Pa  0.6178  0.2500  0.1323  5 N 2.25-2.33
N  0.1224  0.7500  0.4199  3 Ho 2.24-2.25
N  0.2212  0.2500  0.7930  2 Pa 2.25, 1 Ho 2.43
N  0.4190  0.7500  0.0911  3 Pa 2.25-2.33
N  0.5810  0.2500  0.9089  3 Pa 2.25-2.33
N  0.7788  0.7500  0.2070  2 Pa 2.25, 1 Ho 2.43
N  0.8776  0.2500  0.5801  3 Ho 2.24-2.25